Entry 1:
LiPrNdSm, optimized geometry, DFT PBE; electronic total energy = -3.872 eV per atom; calculated formation energy = 0.7 eV/f.u.; size of the total moment = 0.00 μB per formula unit
1.0
0.000 3.995 3.995
3.995 0.000 3.995
3.995 3.995 0.000
Li Pr Nd Sm
1 1 1 1
direct
0.000 0.000 0.000
0.750 0.750 0.750
0.250 0.250 0.250
0.500 0.500 0.500

Entry 2:
ZrNbCu, optimized geometry, DFT PBE; electronic total energy = -7.579 eV per atom; calculated formation energy = 0.0 eV/f.u.; size of the total moment = 0.00 μB per formula unit
1.0
0.000 4.631 4.689
2.441 0.000 4.689
2.441 4.631 0.000
Zr Nb Cu
2 2 2
direct
0.155 0.155 0.845
0.845 0.845 0.155
0.343 0.657 0.343
0.657 0.343 0.657
0.250 0.250 0.250
0.750 0.750 0.750

Entry 3:
BeFeW, optimized geometry, DFT PBE; electronic total energy = -7.491 eV per atom; calculated formation energy = 2.7 eV/f.u.; size of the total moment = 0.01 μB per formula unit
1.0
0.000 2.770 2.770
2.770 0.000 2.770
2.770 2.770 0.000
Be Fe W
1 1 1
direct
0.000 0.000 0.000
0.500 0.500 0.500
0.750 0.750 0.750

Entry 4:
K2Se4S5, optimized geometry, DFT PBE; electronic total energy = -3.561 eV per atom; ΔE_f (raw) = -0.22 eV/atom; size of the total moment = 0.00 μB per formula unit
1.0
3.321 -5.002 0.000
3.321 5.002 0.000
-0.561 0.000 11.126
K Se S
2 4 5
direct
0.246 0.246 0.248
0.754 0.754 0.752
0.153 0.153 0.560
0.234 0.234 0.917
0.766 0.766 0.083
0.847 0.847 0.440
0.248 0.629 0.915
0.371 0.752 0.085
0.500 0.500 0.500
0.629 0.248 0.915
0.752 0.371 0.085

Entry 5:
Li2LaMoAu, optimized geometry, DFT PBE; electronic total energy = -4.005 eV per atom; calculated formation energy = 2.8 eV/f.u.; size of the total moment = 3.12 μB per formula unit
1.0
4.719 0.000 0.000
0.000 4.719 0.000
0.000 0.000 5.797
Li La Mo Au
2 1 1 1
direct
0.000 0.500 0.000
0.500 0.000 0.000
0.000 0.000 0.500
0.500 0.500 0.500
0.000 0.000 0.000

Entry 6:
Y2CrN4, optimized geometry, DFT PBE; electronic total energy = -9.077 eV per atom; ΔE_f (raw) = -1.10 eV/atom; size of the total moment = 0.00 μB per formula unit
1.0
5.516 0.000 0.000
0.000 5.481 0.000
-2.053 0.000 6.312
Y Cr N
4 2 8
direct
0.199 0.250 0.037
0.269 0.250 0.563
0.731 0.750 0.437
0.801 0.750 0.963
0.247 0.750 0.802
0.753 0.250 0.198
0.032 0.505 0.743
0.032 0.995 0.743
0.417 0.750 0.066
0.451 0.750 0.647
0.549 0.250 0.353
0.583 0.250 0.934
0.968 0.005 0.257
0.968 0.495 0.257

Entry 7:
Sc2NiP, optimized geometry, DFT PBE; electronic total energy = -6.410 eV per atom; calculated formation energy = -1.8 eV/f.u.; size of the total moment = 0.00 μB per formula unit
1.0
-3.419 3.419 3.152
3.419 -3.419 3.152
3.419 3.419 -3.152
Sc Ni P
4 2 2
direct
0.117 0.625 0.992
0.375 0.367 0.492
0.633 0.125 0.008
0.875 0.883 0.508
0.000 0.000 0.000
0.750 0.250 0.500
0.250 0.750 0.500
0.500 0.500 0.000

Entry 8:
AcGaPb, optimized geometry, DFT PBE; electronic total energy = -3.933 eV per atom; calculated formation energy = -1.0 eV/f.u.; size of the total moment = 0.00 μB per formula unit
1.0
0.000 3.669 3.669
3.669 0.000 3.669
3.669 3.669 0.000
Ac Ga Pb
1 1 1
direct
0.000 0.000 0.000
0.750 0.750 0.750
0.500 0.500 0.500

What did the sixth record say?
Y2CrN4, optimized geometry, DFT PBE; electronic total energy = -9.077 eV per atom; ΔE_f (raw) = -1.10 eV/atom; size of the total moment = 0.00 μB per formula unit
1.0
5.516 0.000 0.000
0.000 5.481 0.000
-2.053 0.000 6.312
Y Cr N
4 2 8
direct
0.199 0.250 0.037
0.269 0.250 0.563
0.731 0.750 0.437
0.801 0.750 0.963
0.247 0.750 0.802
0.753 0.250 0.198
0.032 0.505 0.743
0.032 0.995 0.743
0.417 0.750 0.066
0.451 0.750 0.647
0.549 0.250 0.353
0.583 0.250 0.934
0.968 0.005 0.257
0.968 0.495 0.257

Look up the size of the total moment of the seventh one.
0.00 μB per formula unit

size of the total moment of number 4 (K2Se4S5)?
0.00 μB per formula unit